w) The following is a PBE-GGA calculation of a relaxed structure of P2PbSeO, from Alexandria via LeMat-Bulk.

SG: No. 123

Cell: 5.439 5.439 3.834 Å, 90.00 90.00 90.00°
Element x y z (fractional)
P (0.000, 0.500, 0.000)
P (0.500, 0.000, 0.000)
Pb (0.000, 0.000, 0.500)
Se (0.500, 0.500, 0.000)
O (0.500, 0.500, 0.500)

x) The following is a PBE-GGA calculation of a relaxed structure of P2PbSeO, from Alexandria via LeMat-Bulk.

SG: No. 123

Cell: 5.361 5.361 4.148 Å, 90.00 90.00 90.00°
Element x y z (fractional)
P (0.000, 0.500, 0.000)
P (0.500, 0.000, 0.000)
Pb (0.000, 0.000, 0.000)
Se (0.500, 0.500, 0.500)
O (0.000, 0.000, 0.500)

Consider the structures shown above. The least stable of them is x).